# KSb (PBEsol, relaxed)
# * ΔE_f (raw): -0.142 eV/atom
# * offset from the most stable computed form: 276 meV/atom
data_KSb
_space_group_name_H-M_alt 'P 1'
_space_group_IT_number 1
_cell_length_a 3.5390
_cell_length_b 3.5390
_cell_length_c 5.7301
_cell_angle_alpha 90.00
_cell_angle_beta 90.00
_cell_angle_gamma 120.00
loop_
_space_group_symop_operation_xyz
'x,y,z'
loop_
_atom_site_label
_atom_site_fract_x
_atom_site_fract_y
_atom_site_fract_z
_atom_site_occupancy
Sb1 0.3333 0.6667 0.5000 1
K1 0.0000 0.0000 0.0000 1

# Ta2RuAu (PBEsol, relaxed)
# * calculated formation energy: -0.17 eV per atom
# * offset from the most stable computed form: 23 meV/atom
data_Ta2RuAu
_space_group_name_H-M_alt 'P 1'
_space_group_IT_number 1
_cell_length_a 2.9577
_cell_length_b 3.8597
_cell_length_c 5.6510
_cell_angle_alpha 90.00
_cell_angle_beta 90.00
_cell_angle_gamma 90.00
loop_
_space_group_symop_operation_xyz
'x,y,z'
loop_
_atom_site_label
_atom_site_fract_x
_atom_site_fract_y
_atom_site_fract_z
_atom_site_occupancy
Ta1 0.0000 0.0000 0.2617 1
Ta2 0.0000 0.0000 0.7383 1
Au1 0.5000 0.5000 0.0000 1
Ru1 0.5000 0.5000 0.5000 1

# BeAgP2Pd (PBEsol, relaxed)
# * calculated formation energy: 0.69 eV per atom
data_BeAgP2Pd
_space_group_name_H-M_alt 'P 1'
_space_group_IT_number 1
_cell_length_a 4.1861
_cell_length_b 4.6193
_cell_length_c 4.6193
_cell_angle_alpha 90.00
_cell_angle_beta 90.00
_cell_angle_gamma 90.00
loop_
_space_group_symop_operation_xyz
'x,y,z'
loop_
_atom_site_label
_atom_site_fract_x
_atom_site_fract_y
_atom_site_fract_z
_atom_site_occupancy
Pd1 0.0000 0.0000 0.0000 1
P1 0.0000 0.0000 0.5000 1
P2 0.0000 0.5000 0.0000 1
Ag1 0.5000 0.5000 0.5000 1
Be1 0.5000 0.0000 0.0000 1